Y2Ga2Pd5Au | the Alexandria database | PBE | optimized geometry; formation energy from the elements = -698 meV per atom; total magnetic moment = 0.000 μB/atom
1.0
9.7941 0.0000 0.0000
0.0000 9.7941 0.0000
0.0000 0.0000 3.7780
Y Ga Pd Au
4 4 10 2
Direct
0.1780 0.3220 0.0000
0.3220 0.8220 0.0000
0.6780 0.1780 0.0000
0.8220 0.6780 0.0000
0.1207 0.6207 0.0000
0.3793 0.1207 0.0000
0.6207 0.8793 0.0000
0.8793 0.3793 0.0000
0.0000 0.5000 0.5000
0.0646 0.7933 0.5000
0.2067 0.0646 0.5000
0.2933 0.5646 0.5000
0.4354 0.2933 0.5000
0.5000 0.0000 0.5000
0.5646 0.7067 0.5000
0.7067 0.4354 0.5000
0.7933 0.9354 0.5000
0.9354 0.2067 0.5000
0.0000 0.0000 0.0000
0.5000 0.5000 0.0000

***

Pm3Be2Au9 | the Alexandria database | PBE | optimized geometry; formation energy from the elements = -456 meV per atom; total magnetic moment = 0.000 μB/atom
1.0
-2.4227 4.4237 6.6210
2.4227 -4.4237 6.6210
2.4227 4.4237 -6.6210
Pm Be Au
3 2 9
Direct
0.0000 0.0000 0.0000
0.2852 0.2852 0.0000
0.7148 0.7148 0.0000
0.3670 0.5000 0.8670
0.6330 0.5000 0.1330
0.0423 0.3838 0.6586
0.1359 0.8386 0.2974
0.2748 0.6162 0.6586
0.4588 0.1614 0.2974
0.5000 0.0000 0.5000
0.5412 0.8386 0.7026
0.7252 0.3838 0.3414
0.8641 0.1614 0.7026
0.9577 0.6162 0.3414

***

Pm4PrNdSe8 | the Alexandria database | PBE | optimized geometry; uncorrected energy = -5.7609 eV per atom; total magnetic moment = 0.000 μB/atom
1.0
4.3324 2.5013 7.1073
-4.3324 2.5013 7.1073
0.0000 -5.0026 7.1073
Pm Pr Nd Se
4 1 1 8
Direct
0.0000 0.0000 0.0000
0.1247 0.6259 0.6259
0.6259 0.1247 0.6259
0.6259 0.6259 0.1247
0.6257 0.6257 0.6257
0.2513 0.2513 0.2513
0.3810 0.3810 0.8524
0.3810 0.8524 0.3810
0.3844 0.3844 0.3844
0.3963 0.8708 0.8708
0.8524 0.3810 0.3810
0.8678 0.8678 0.8678
0.8708 0.3963 0.8708
0.8708 0.8708 0.3963